## CsNiN2F (PBE+U)

Data for CsNiN2F after structural relaxation.

a b c (Å): 3.798 3.798 5.952
angles (deg): 90.00 90.00 90.00
Space group P4/mmm (No. 123)
Symmetry-distinct sites (fractional):
Cs: 0.000 0.000 0.000 (multiplicity 1)
Ni: 0.500 0.500 0.500 (multiplicity 1)
N: 0.000 0.500 0.500 (multiplicity 2)
F: 0.500 0.500 0.000 (multiplicity 1)

Results
The energy comes out at -3.941 eV per atom. The magnetic moment is 3.90 μB per formula unit. Its density of states at the Fermi level is 1.36 states/eV per cell.